No. 1
First-principles (PBEsol) data for a geometry-optimized NaTlRe3 structure, as listed in Alexandria via LeMat-Bulk.

E: -5.4435 eV/atom
ΔE_f: 3.362 eV per atom
Symmetry: Pm-3m (221)

Geometry as CIF:
```
data_NaTlRe3
_chemical_formula_sum 'Na1 Tl1 Re3'
_space_group_name_H-M_alt 'P 1'
_space_group_IT_number 1
_cell_length_a 4.9415
_cell_length_b 4.9415
_cell_length_c 4.9415
_cell_angle_alpha 90.00
_cell_angle_beta 90.00
_cell_angle_gamma 90.00
loop_
_space_group_symop_operation_xyz
'x,y,z'
loop_
_atom_site_label
_atom_site_fract_x
_atom_site_fract_y
_atom_site_fract_z
Re1 0.0000 0.5000 0.0000
Re2 0.0000 0.0000 0.5000
Re3 0.5000 0.0000 0.0000
Tl1 0.0000 0.0000 0.0000
Na1 0.5000 0.5000 0.5000
```


No. 2
First-principles (PBEsol) data for a geometry-optimized Na2Y2Re structure, as listed in Alexandria via LeMat-Bulk.

E: -5.4937 eV/atom
ΔE_f: 0.461 eV per atom
Symmetry: I4/mmm (139)

Geometry as CIF:
```
data_Na2Y2Re
_chemical_formula_sum 'Na2 Y2 Re1'
_space_group_name_H-M_alt 'P 1'
_space_group_IT_number 1
_cell_length_a 3.6037
_cell_length_b 3.6037
_cell_length_c 10.1488
_cell_angle_alpha 100.23
_cell_angle_beta 100.23
_cell_angle_gamma 90.00
loop_
_space_group_symop_operation_xyz
'x,y,z'
loop_
_atom_site_label
_atom_site_fract_x
_atom_site_fract_y
_atom_site_fract_z
Y1 0.4208 0.4208 0.8416
Y2 0.5792 0.5792 0.1584
Re1 0.0000 0.0000 0.0000
Na1 0.2500 0.7500 0.5000
Na2 0.7500 0.2500 0.5000
```


No. 3
First-principles (PBEsol) data for a geometry-optimized NaYRe3 structure, as listed in Alexandria via LeMat-Bulk.

E: -7.0134 eV/atom
ΔE_f: 2.630 eV per atom
Symmetry: Pm-3m (221)

Geometry as CIF:
```
data_NaYRe3
_chemical_formula_sum 'Na1 Y1 Re3'
_space_group_name_H-M_alt 'P 1'
_space_group_IT_number 1
_cell_length_a 4.5457
_cell_length_b 4.5457
_cell_length_c 4.5457
_cell_angle_alpha 90.00
_cell_angle_beta 90.00
_cell_angle_gamma 90.00
loop_
_space_group_symop_operation_xyz
'x,y,z'
loop_
_atom_site_label
_atom_site_fract_x
_atom_site_fract_y
_atom_site_fract_z
Y1 0.5000 0.5000 0.5000
Re1 0.0000 0.5000 0.0000
Re2 0.0000 0.0000 0.5000
Re3 0.5000 0.0000 0.0000
Na1 0.0000 0.0000 0.0000
```


No. 4
First-principles (PBEsol) data for a geometry-optimized NaRuRh3 structure, as listed in Alexandria via LeMat-Bulk.

E: -6.0248 eV/atom
ΔE_f: 1.173 eV per atom
Symmetry: Pm-3m (221)

Geometry as CIF:
```
data_NaRuRh3
_chemical_formula_sum 'Na1 Ru1 Rh3'
_space_group_name_H-M_alt 'P 1'
_space_group_IT_number 1
_cell_length_a 4.6270
_cell_length_b 4.6270
_cell_length_c 4.6270
_cell_angle_alpha 90.00
_cell_angle_beta 90.00
_cell_angle_gamma 90.00
loop_
_space_group_symop_operation_xyz
'x,y,z'
loop_
_atom_site_label
_atom_site_fract_x
_atom_site_fract_y
_atom_site_fract_z
Ru1 0.0000 0.0000 0.0000
Rh1 0.0000 0.5000 0.0000
Rh2 0.0000 0.0000 0.5000
Rh3 0.5000 0.0000 0.0000
Na1 0.5000 0.5000 0.5000
```


No. 5
First-principles (PBEsol) data for a geometry-optimized Na2RhS structure, as listed in Alexandria via LeMat-Bulk.

ΔE_f (raw): 0.38 eV per formula unit
E: -3.7362 eV/atom
Symmetry: I-42d (122)

Geometry as CIF:
```
data_Na2RhS
_chemical_formula_sum 'Na4 Rh2 S2'
_space_group_name_H-M_alt 'P 1'
_space_group_IT_number 1
_cell_length_a 3.7275
_cell_length_b 3.7275
_cell_length_c 10.0030
_cell_angle_alpha 100.74
_cell_angle_beta 100.74
_cell_angle_gamma 90.00
loop_
_space_group_symop_operation_xyz
'x,y,z'
loop_
_atom_site_label
_atom_site_fract_x
_atom_site_fract_y
_atom_site_fract_z
Na1 0.3876 0.8750 0.2500
Na2 0.8624 0.3750 0.2500
Na3 0.1250 0.1376 0.7500
Na4 0.6250 0.6124 0.7500
S1 0.7500 0.2500 0.5000
S2 0.5000 0.5000 0.0000
Rh1 0.2500 0.7500 0.5000
Rh2 0.0000 0.0000 0.0000
```


No. 6
First-principles (PBEsol) data for a geometry-optimized Na2Sb2Rh structure, as listed in Alexandria via LeMat-Bulk.

ΔE_f (raw): -1.84 eV per formula unit
E: -4.3792 eV/atom
Symmetry: P4/mbm (127)

Geometry as CIF:
```
data_Na2Sb2Rh
_chemical_formula_sum 'Na4 Sb4 Rh2'
_space_group_name_H-M_alt 'P 1'
_space_group_IT_number 1
_cell_length_a 5.1438
_cell_length_b 6.7588
_cell_length_c 6.7588
_cell_angle_alpha 90.00
_cell_angle_beta 90.00
_cell_angle_gamma 90.00
loop_
_space_group_symop_operation_xyz
'x,y,z'
loop_
_atom_site_label
_atom_site_fract_x
_atom_site_fract_y
_atom_site_fract_z
Sb1 0.0000 0.3517 0.8517
Sb2 0.0000 0.8517 0.6483
Sb3 0.0000 0.6483 0.1483
Sb4 0.0000 0.1483 0.3517
Rh1 0.0000 0.0000 0.0000
Rh2 0.0000 0.5000 0.5000
Na1 0.5000 0.1736 0.6736
Na2 0.5000 0.6736 0.8264
Na3 0.5000 0.8264 0.3264
Na4 0.5000 0.3264 0.1736
```


No. 7
First-principles (PBEsol) data for a geometry-optimized NaSb2Rh structure, as listed in Alexandria via LeMat-Bulk.

ΔE_f (raw): -0.48 eV per formula unit
E: -4.7839 eV/atom
Symmetry: I-42d (122)

Geometry as CIF:
```
data_NaSb2Rh
_chemical_formula_sum 'Na2 Sb4 Rh2'
_space_group_name_H-M_alt 'P 1'
_space_group_IT_number 1
_cell_length_a 5.7778
_cell_length_b 6.4567
_cell_length_c 6.4567
_cell_angle_alpha 78.45
_cell_angle_beta 63.42
_cell_angle_gamma 63.42
loop_
_space_group_symop_operation_xyz
'x,y,z'
loop_
_atom_site_label
_atom_site_fract_x
_atom_site_fract_y
_atom_site_fract_z
Sb1 0.0448 0.0802 0.5802
Sb2 0.7052 0.9198 0.4198
Sb3 0.3750 0.5802 0.9198
Sb4 0.8750 0.4198 0.0802
Rh1 0.7500 0.5000 0.5000
Rh2 0.0000 0.0000 0.0000
Na1 0.2500 0.5000 0.5000
Na2 0.5000 0.0000 0.0000
```


No. 8
First-principles (PBEsol) data for a geometry-optimized NaSbRh3 structure, as listed in Alexandria via LeMat-Bulk.

ΔE_f (raw): 7.08 eV per formula unit
E: -4.6593 eV/atom
Symmetry: Pm-3m (221)

Geometry as CIF:
```
data_NaSbRh3
_chemical_formula_sum 'Na1 Sb1 Rh3'
_space_group_name_H-M_alt 'P 1'
_space_group_IT_number 1
_cell_length_a 4.4233
_cell_length_b 4.4233
_cell_length_c 4.4233
_cell_angle_alpha 90.00
_cell_angle_beta 90.00
_cell_angle_gamma 90.00
loop_
_space_group_symop_operation_xyz
'x,y,z'
loop_
_atom_site_label
_atom_site_fract_x
_atom_site_fract_y
_atom_site_fract_z
Sb1 0.5000 0.5000 0.5000
Rh1 0.0000 0.5000 0.0000
Rh2 0.0000 0.0000 0.5000
Rh3 0.5000 0.0000 0.0000
Na1 0.0000 0.0000 0.0000
```


No. 9
First-principles (PBEsol) data for a geometry-optimized NaSb2TeRh structure, as listed in Alexandria via LeMat-Bulk.

ΔE_f (raw): 6.42 eV per formula unit
E: -3.1523 eV/atom
Symmetry: P4/mmm (123)

Geometry as CIF:
```
data_NaSb2TeRh
_chemical_formula_sum 'Na1 Sb2 Te1 Rh1'
_space_group_name_H-M_alt 'P 1'
_space_group_IT_number 1
_cell_length_a 5.0955
_cell_length_b 5.0955
_cell_length_c 5.1904
_cell_angle_alpha 90.00
_cell_angle_beta 90.00
_cell_angle_gamma 90.00
loop_
_space_group_symop_operation_xyz
'x,y,z'
loop_
_atom_site_label
_atom_site_fract_x
_atom_site_fract_y
_atom_site_fract_z
Sb1 0.0000 0.5000 0.0000
Sb2 0.5000 0.0000 0.0000
Te1 0.0000 0.0000 0.5000
Rh1 0.5000 0.5000 0.5000
Na1 0.0000 0.0000 0.0000
```


No. 10
First-principles (PBEsol) data for a geometry-optimized NaSc3Rh structure, as listed in Alexandria via LeMat-Bulk.

E: -4.5536 eV/atom
ΔE_f: 1.317 eV per atom
Symmetry: Pm-3m (221)

Geometry as CIF:
```
data_NaSc3Rh
_chemical_formula_sum 'Na1 Sc3 Rh1'
_space_group_name_H-M_alt 'P 1'
_space_group_IT_number 1
_cell_length_a 4.8458
_cell_length_b 4.8458
_cell_length_c 4.8458
_cell_angle_alpha 90.00
_cell_angle_beta 90.00
_cell_angle_gamma 90.00
loop_
_space_group_symop_operation_xyz
'x,y,z'
loop_
_atom_site_label
_atom_site_fract_x
_atom_site_fract_y
_atom_site_fract_z
Sc1 0.0000 0.5000 0.0000
Sc2 0.0000 0.0000 0.5000
Sc3 0.5000 0.0000 0.0000
Na1 0.0000 0.0000 0.0000
Rh1 0.5000 0.5000 0.5000
```


No. 11
First-principles (PBEsol) data for a geometry-optimized NaSc2Rh structure, as listed in Alexandria via LeMat-Bulk.

E: -5.4389 eV/atom
ΔE_f: 0.248 eV per atom
Symmetry: R-3m (166)

Geometry as CIF:
```
data_NaSc2Rh
_chemical_formula_sum 'Na1 Sc2 Rh1'
_space_group_name_H-M_alt 'P 1'
_space_group_IT_number 1
_cell_length_a 3.0433
_cell_length_b 3.0433
_cell_length_c 10.9459
_cell_angle_alpha 82.01
_cell_angle_beta 82.01
_cell_angle_gamma 60.00
loop_
_space_group_symop_operation_xyz
'x,y,z'
loop_
_atom_site_label
_atom_site_fract_x
_atom_site_fract_y
_atom_site_fract_z
Sc1 0.9278 0.9278 0.2165
Sc2 0.0722 0.0722 0.7835
Na1 0.5000 0.5000 0.5000
Rh1 0.0000 0.0000 0.0000
```


No. 12
First-principles (PBEsol) data for a geometry-optimized NaRh2Se2 structure, as listed in Alexandria via LeMat-Bulk.

ΔE_f (raw): -1.96 eV per formula unit
E: -5.4671 eV/atom
Symmetry: I4/mmm (139)

Geometry as CIF:
```
data_NaRh2Se2
_chemical_formula_sum 'Na1 Rh2 Se2'
_space_group_name_H-M_alt 'P 1'
_space_group_IT_number 1
_cell_length_a 3.9063
_cell_length_b 3.9063
_cell_length_c 6.8419
_cell_angle_alpha 106.59
_cell_angle_beta 106.59
_cell_angle_gamma 90.00
loop_
_space_group_symop_operation_xyz
'x,y,z'
loop_
_atom_site_label
_atom_site_fract_x
_atom_site_fract_y
_atom_site_fract_z
Na1 0.0000 0.0000 0.0000
Rh1 0.2500 0.7500 0.5000
Rh2 0.7500 0.2500 0.5000
Se1 0.3703 0.3703 0.7406
Se2 0.6297 0.6297 0.2594
```


No. 13
First-principles (PBEsol) data for a geometry-optimized NaSi2Rh structure, as listed in Alexandria via LeMat-Bulk.

ΔE_f (raw): -0.33 eV per formula unit
E: -5.3399 eV/atom
Symmetry: Fm-3m (225)

Geometry as CIF:
```
data_NaSi2Rh
_chemical_formula_sum 'Na1 Si2 Rh1'
_space_group_name_H-M_alt 'P 1'
_space_group_IT_number 1
_cell_length_a 4.3034
_cell_length_b 4.3034
_cell_length_c 4.3034
_cell_angle_alpha 60.00
_cell_angle_beta 60.00
_cell_angle_gamma 60.00
loop_
_space_group_symop_operation_xyz
'x,y,z'
loop_
_atom_site_label
_atom_site_fract_x
_atom_site_fract_y
_atom_site_fract_z
Na1 0.0000 0.0000 0.0000
Si1 0.2500 0.2500 0.2500
Si2 0.7500 0.7500 0.7500
Rh1 0.5000 0.5000 0.5000
```


No. 14
First-principles (PBEsol) data for a geometry-optimized NaSn2Rh2 structure, as listed in Alexandria via LeMat-Bulk.

E: -5.5286 eV/atom
ΔE_f: -0.290 eV per atom
Symmetry: I4/mmm (139)

Geometry as CIF:
```
data_NaSn2Rh2
_chemical_formula_sum 'Na1 Sn2 Rh2'
_space_group_name_H-M_alt 'P 1'
_space_group_IT_number 1
_cell_length_a 4.2646
_cell_length_b 4.2646
_cell_length_c 6.5063
_cell_angle_alpha 109.13
_cell_angle_beta 109.13
_cell_angle_gamma 90.00
loop_
_space_group_symop_operation_xyz
'x,y,z'
loop_
_atom_site_label
_atom_site_fract_x
_atom_site_fract_y
_atom_site_fract_z
Na1 0.0000 0.0000 0.0000
Rh1 0.2500 0.7500 0.5000
Rh2 0.7500 0.2500 0.5000
Sn1 0.3745 0.3745 0.7491
Sn2 0.6255 0.6255 0.2509
```


No. 15
First-principles (PBEsol) data for a geometry-optimized NaSn2Rh structure, as listed in Alexandria via LeMat-Bulk.

E: -4.7021 eV/atom
ΔE_f: -0.188 eV per atom
Symmetry: Fm-3m (225)

Geometry as CIF:
```
data_NaSn2Rh
_chemical_formula_sum 'Na1 Sn2 Rh1'
_space_group_name_H-M_alt 'P 1'
_space_group_IT_number 1
_cell_length_a 4.7227
_cell_length_b 4.7227
_cell_length_c 4.7227
_cell_angle_alpha 60.00
_cell_angle_beta 60.00
_cell_angle_gamma 60.00
loop_
_space_group_symop_operation_xyz
'x,y,z'
loop_
_atom_site_label
_atom_site_fract_x
_atom_site_fract_y
_atom_site_fract_z
Na1 0.0000 0.0000 0.0000
Rh1 0.5000 0.5000 0.5000
Sn1 0.2500 0.2500 0.2500
Sn2 0.7500 0.7500 0.7500
```


No. 16
First-principles (PBEsol) data for a geometry-optimized NaSn2Rh2 structure, as listed in Alexandria via LeMat-Bulk.

E: -5.6166 eV/atom
ΔE_f: -0.378 eV per atom
Symmetry: P4/mbm (127)

Geometry as CIF:
```
data_NaSn2Rh2
_chemical_formula_sum 'Na2 Sn4 Rh4'
_space_group_name_H-M_alt 'P 1'
_space_group_IT_number 1
_cell_length_a 2.9701
_cell_length_b 7.7865
_cell_length_c 7.7865
_cell_angle_alpha 90.00
_cell_angle_beta 90.00
_cell_angle_gamma 90.00
loop_
_space_group_symop_operation_xyz
'x,y,z'
loop_
_atom_site_label
_atom_site_fract_x
_atom_site_fract_y
_atom_site_fract_z
Na1 0.0000 0.0000 0.0000
Na2 0.0000 0.5000 0.5000
Rh1 0.5000 0.1440 0.6440
Rh2 0.5000 0.6440 0.8560
Rh3 0.5000 0.8560 0.3560
Rh4 0.5000 0.3560 0.1440
Sn1 0.0000 0.3497 0.8497
Sn2 0.0000 0.8497 0.6503
Sn3 0.0000 0.6503 0.1503
Sn4 0.0000 0.1503 0.3497
```


No. 17
First-principles (PBEsol) data for a geometry-optimized NaSr3Rh structure, as listed in Alexandria via LeMat-Bulk.

E: -3.1080 eV/atom
ΔE_f: -0.096 eV per atom
Symmetry: Pm-3m (221)

Geometry as CIF:
```
data_NaSr3Rh
_chemical_formula_sum 'Na1 Sr3 Rh1'
_space_group_name_H-M_alt 'P 1'
_space_group_IT_number 1
_cell_length_a 5.8263
_cell_length_b 5.8263
_cell_length_c 5.8263
_cell_angle_alpha 90.00
_cell_angle_beta 90.00
_cell_angle_gamma 90.00
loop_
_space_group_symop_operation_xyz
'x,y,z'
loop_
_atom_site_label
_atom_site_fract_x
_atom_site_fract_y
_atom_site_fract_z
Sr1 0.0000 0.5000 0.0000
Sr2 0.0000 0.0000 0.5000
Sr3 0.5000 0.0000 0.0000
Rh1 0.0000 0.0000 0.0000
Na1 0.5000 0.5000 0.5000
```


No. 18
First-principles (PBEsol) data for a geometry-optimized NaSrTa2Rh structure, as listed in Alexandria via LeMat-Bulk.

E: -6.3687 eV/atom
ΔE_f: 0.927 eV per atom
Symmetry: P4/mmm (123)

Geometry as CIF:
```
data_NaSrTa2Rh
_chemical_formula_sum 'Na1 Sr1 Ta2 Rh1'
_space_group_name_H-M_alt 'P 1'
_space_group_IT_number 1
_cell_length_a 4.8160
_cell_length_b 4.8160
_cell_length_c 5.8232
_cell_angle_alpha 90.00
_cell_angle_beta 90.00
_cell_angle_gamma 90.00
loop_
_space_group_symop_operation_xyz
'x,y,z'
loop_
_atom_site_label
_atom_site_fract_x
_atom_site_fract_y
_atom_site_fract_z
Na1 0.5000 0.5000 0.5000
Sr1 0.0000 0.0000 0.5000
Rh1 0.0000 0.0000 0.0000
Ta1 0.0000 0.5000 0.0000
Ta2 0.5000 0.0000 0.0000
```


No. 19
First-principles (PBEsol) data for a geometry-optimized NaYTa2Rh structure, as listed in Alexandria via LeMat-Bulk.

E: -7.4393 eV/atom
ΔE_f: 0.853 eV per atom
Symmetry: P4/mmm (123)

Geometry as CIF:
```
data_NaYTa2Rh
_chemical_formula_sum 'Na1 Y1 Ta2 Rh1'
_space_group_name_H-M_alt 'P 1'
_space_group_IT_number 1
_cell_length_a 4.7846
_cell_length_b 4.7846
_cell_length_c 5.0848
_cell_angle_alpha 90.00
_cell_angle_beta 90.00
_cell_angle_gamma 90.00
loop_
_space_group_symop_operation_xyz
'x,y,z'
loop_
_atom_site_label
_atom_site_fract_x
_atom_site_fract_y
_atom_site_fract_z
Y1 0.5000 0.5000 0.5000
Na1 0.0000 0.0000 0.5000
Rh1 0.0000 0.0000 0.0000
Ta1 0.0000 0.5000 0.0000
Ta2 0.5000 0.0000 0.0000
```


No. 20
First-principles (PBEsol) data for a geometry-optimized NaTl3Rh structure, as listed in Alexandria via LeMat-Bulk.

E: -3.4671 eV/atom
ΔE_f: 0.019 eV per atom
Symmetry: Pm-3m (221)

Geometry as CIF:
```
data_NaTl3Rh
_chemical_formula_sum 'Na1 Tl3 Rh1'
_space_group_name_H-M_alt 'P 1'
_space_group_IT_number 1
_cell_length_a 5.2051
_cell_length_b 5.2051
_cell_length_c 5.2051
_cell_angle_alpha 90.00
_cell_angle_beta 90.00
_cell_angle_gamma 90.00
loop_
_space_group_symop_operation_xyz
'x,y,z'
loop_
_atom_site_label
_atom_site_fract_x
_atom_site_fract_y
_atom_site_fract_z
Na1 0.5000 0.5000 0.5000
Tl1 0.0000 0.5000 0.0000
Tl2 0.0000 0.0000 0.5000
Tl3 0.5000 0.0000 0.0000
Rh1 0.0000 0.0000 0.0000
```